VASP calculation (PBE-GGA) on a relaxed CaTb3Pr6Y2 crystal.

Properties
Space group: C2/m (12)
Energy of formation from the pure elements (eV per atom): 0.027
Magnetic moment (μB/f.u.): 0.00

abc: 6.363 6.363 12.019
angles: 95.03 95.03 119.99
Sites, in units of the cell vectors:
Tb  0.833  0.167  0.500
Tb  0.500  0.500  0.500
Tb  0.167  0.833  0.500
Ca  0.000  0.000  0.000
Pr  0.254  0.254  0.746
Pr  0.425  0.085  0.253
Pr  0.746  0.746  0.254
Pr  0.915  0.575  0.747
Pr  0.575  0.915  0.747
Pr  0.085  0.425  0.253
Y  0.333  0.667  0.000
Y  0.667  0.333  0.000

***

VASP calculation (PBE-GGA) on a relaxed Ti2BeCl2 crystal.

Properties
Space group: P4/mbm (127)
Formation energy (no corrections) (eV per atom): 0.015
Excess energy over the best structure of this formula in the dataset (eV per formula unit): 0.15
Magnetic moment (μB/f.u.): 0.00

abc: 7.043 7.043 3.068
angles: 90.00 90.00 90.00
Sites, in units of the cell vectors:
Be  0.000  0.000  0.000
Be  0.500  0.500  0.000
Ti  0.840  0.660  0.000
Ti  0.340  0.840  0.000
Ti  0.160  0.340  0.000
Ti  0.660  0.160  0.000
Cl  0.362  0.138  0.500
Cl  0.638  0.862  0.500
Cl  0.862  0.362  0.500
Cl  0.138  0.638  0.500

***

Record order is preserved below.
Density of states at the Fermi level: 14.0, 2.1 states/eV/f.u.